No. 1
A geometry-optimized EuSO4 structure. Source: Alexandria, functional GGA-PBE.

* mass density: 5.1 g/cm³
* electronic total energy: -0.2884 hartree per atom
* energy relative to the elements, uncorrected: -2.141 eV per atom
* space-group type: Pnma
* magnetization: 28.0 μB per cell

Cell lengths 8.4289, 5.4588, 6.9569 Å; angles 90.00, 90.00, 90.00 degrees
Positions (direct):
Eu (0.1849, 0.2500, 0.1568)
Eu (0.3151, 0.7500, 0.6568)
Eu (0.6849, 0.2500, 0.3432)
Eu (0.8151, 0.7500, 0.8432)
S (0.0611, 0.2500, 0.6826)
S (0.4389, 0.7500, 0.1826)
S (0.5611, 0.2500, 0.8174)
S (0.9389, 0.7500, 0.3174)
O (0.0769, 0.0271, 0.8087)
O (0.0769, 0.4729, 0.8087)
O (0.0964, 0.7500, 0.4091)
O (0.1925, 0.2500, 0.5398)
O (0.3075, 0.7500, 0.0398)
O (0.4036, 0.2500, 0.9091)
O (0.4231, 0.5271, 0.3087)
O (0.4231, 0.9729, 0.3087)
O (0.5769, 0.0271, 0.6913)
O (0.5769, 0.4729, 0.6913)
O (0.5964, 0.7500, 0.0909)
O (0.6925, 0.2500, 0.9602)
O (0.8075, 0.7500, 0.4602)
O (0.9036, 0.2500, 0.5909)
O (0.9231, 0.5271, 0.1913)
O (0.9231, 0.9729, 0.1913)

---

No. 2
A geometry-optimized Li2Ag2Rh structure. Source: Alexandria, functional GGA-PBE.

* mass density: 7.6 g/cm³
* electronic total energy: -0.1239 hartree per atom
* ΔE_f: 2 kJ/mol of formula units
* distance to the lowest polymorph of the same formula: 0 meV per atom
* space-group type: P4/mbm
* magnetization: 0.0 μB per cell

Cell lengths 6.7217, 6.7217, 3.2203 Å; angles 90.00, 90.00, 90.00 degrees
Positions (direct):
Li (0.1320, 0.3680, 0.0000)
Li (0.3680, 0.8680, 0.0000)
Li (0.6320, 0.1320, 0.0000)
Li (0.8680, 0.6320, 0.0000)
Ag (0.1745, 0.6745, 0.5000)
Ag (0.3255, 0.1745, 0.5000)
Ag (0.6745, 0.8255, 0.5000)
Ag (0.8255, 0.3255, 0.5000)
Rh (0.0000, 0.0000, 0.0000)
Rh (0.5000, 0.5000, 0.0000)

---

No. 3
A geometry-optimized CaTa3 structure. Source: Alexandria, functional GGA-PBE.

* mass density: 8.4 g/cm³
* electronic total energy: -0.2054 hartree per atom
* ΔE_f: 1467 kJ/mol of formula units
* space-group type: Pm-3m
* magnetization: 1.5 μB per cell

Cell lengths 4.8724, 4.8724, 4.8724 Å; angles 90.00, 90.00, 90.00 degrees
Positions (direct):
Ca (0.0000, 0.0000, 0.0000)
Ta (0.0000, 0.0000, 0.5000)
Ta (0.0000, 0.5000, 0.0000)
Ta (0.5000, 0.0000, 0.0000)

---

No. 4
A geometry-optimized TcPHOs structure. Source: Alexandria, functional GGA-PBE.

* mass density: 12.4 g/cm³
* electronic total energy: -0.2773 hartree per atom
* distance to the lowest polymorph of the same formula: 106 meV per atom
* space-group type: P3m1
* magnetization: 0.0 μB per cell

Cell lengths 2.8532, 2.8532, 6.1013 Å; angles 90.00, 90.00, 120.00 degrees
Positions (direct):
Tc (0.0000, 0.0000, 0.0000)
P (0.6667, 0.3333, 0.6960)
H (0.6667, 0.3333, 0.1716)
Os (0.3333, 0.6667, 0.4014)

---

No. 5
A geometry-optimized AlMoPt2 structure. Source: Alexandria, functional GGA-PBE.

* mass density: 14.0 g/cm³
* electronic total energy: -0.2635 hartree per atom
* ΔE_f: -196 kJ/mol of formula units
* space-group type: P2/m
* magnetization: 0.0 μB per cell

Cell lengths 2.8074, 3.9652, 5.4687 Å; angles 90.00, 90.17, 90.00 degrees
Positions (direct):
Al (0.0000, 0.0000, 0.0000)
Mo (0.0000, 0.0000, 0.5000)
Pt (0.4991, 0.5000, 0.2511)
Pt (0.5009, 0.5000, 0.7489)

---

No. 6
A geometry-optimized LiTb2Cu12Ni3 structure. Source: Alexandria, functional GGA-PBE.

* mass density: 8.4 g/cm³
* electronic total energy: -0.1585 hartree per atom
* ΔE_f: 5 kJ/mol of formula units
* space-group type: R-3m
* magnetization: 0.0 μB per cell

Cell lengths 6.3355, 6.3355, 6.3355 Å; angles 83.06, 83.06, 83.06 degrees
Positions (direct):
Li (0.0000, 0.0000, 0.0000)
Tb (0.2539, 0.2539, 0.2539)
Tb (0.7461, 0.7461, 0.7461)
Cu (0.1491, 0.5767, 0.5767)
Cu (0.1971, 0.1971, 0.7248)
Cu (0.1971, 0.7248, 0.1971)
Cu (0.2752, 0.8029, 0.8029)
Cu (0.4233, 0.4233, 0.8509)
Cu (0.4233, 0.8509, 0.4233)
Cu (0.5767, 0.1491, 0.5767)
Cu (0.5767, 0.5767, 0.1491)
Cu (0.7248, 0.1971, 0.1971)
Cu (0.8029, 0.2752, 0.8029)
Cu (0.8029, 0.8029, 0.2752)
Cu (0.8509, 0.4233, 0.4233)
Ni (0.0000, 0.0000, 0.5000)
Ni (0.0000, 0.5000, 0.0000)
Ni (0.5000, 0.0000, 0.0000)